Record 1
VASP calculation (PBEsol) on a relaxed TlHgSb crystal.

Calculated values
The symmetry is No. 44. The density is 11.04 Mg/m³. The density of states at the Fermi level comes out at 1.56 states/eV/cell. For the formation energy without anion corrections, the calculation gives 0.069 eV/atom.

Cell lengths 3.2257, 5.2276, 5.6148 Å; angles 117.74, 106.69, 90.00 degrees
Closest atoms and distances in Å follow each position.
Fractional coordinates of all 3 atoms:
Tl 0.6709 0.6709 0.3417  5 Hg 3.10-3.46, 5 Sb 3.22-3.41, 2 Tl 3.23
Hg 0.0010 0.0010 0.0020  1 Sb 3.08, 1 Tl 3.10, 2 Hg 3.23
Sb 0.3281 0.3281 0.6563  1 Hg 3.08, 5 Tl 3.22-3.41, 2 Sb 3.23

Record 2
VASP calculation (PBEsol) on a relaxed ZnPt2Cl crystal.

Calculated values
The symmetry is No. 166. Its polymorph energy (0 for the lowest one) is 0 meV/atom. The density is 12.95 Mg/m³. The density of states at the Fermi level comes out at 1.85 states/eV/cell. For the formation energy without anion corrections, the calculation gives 0.010 eV/atom.

Cell lengths 2.7613, 2.7613, 9.6692 Å; angles 81.79, 81.79, 60.00 degrees
Closest atoms and distances in Å follow each position.
Fractional coordinates of all 4 atoms:
Cl 0.0000 0.0000 0.0000  6 Cl 2.76
Zn 0.5000 0.5000 0.5000  6 Pt 2.59, 6 Zn 2.76
Pt 0.7621 0.7621 0.7136  3 Zn 2.59, 6 Pt 2.76
Pt 0.2379 0.2379 0.2864  3 Zn 2.59, 6 Pt 2.76

Record 3
VASP calculation (PBEsol) on a relaxed In2BiAs crystal.

Calculated values
The symmetry is No. 122. The density is 6.54 Mg/m³. The density of states at the Fermi level comes out at 0.41 states/eV/cell. Its energy of formation from the pure elements is -0.054 eV/atom.

Cell lengths 6.4094, 6.4094, 7.8005 Å; angles 114.26, 114.26, 90.00 degrees
Closest atoms and distances in Å follow each position.
Fractional coordinates of all 8 atoms:
In 0.6250 0.5931 0.7500  2 As 2.65, 2 Bi 2.89
In 0.1250 0.1569 0.7500  2 As 2.65, 2 Bi 2.89
In 0.4069 0.8750 0.2500  2 As 2.65, 2 Bi 2.89
In 0.8431 0.3750 0.2500  2 As 2.65, 2 Bi 2.89
Bi 0.2500 0.7500 0.5000  4 In 2.89
Bi 0.0000 0.0000 0.0000  4 In 2.89
As 0.5000 0.5000 0.0000  4 In 2.65
As 0.7500 0.2500 0.5000  4 In 2.65

Record 4
VASP calculation (PBEsol) on a relaxed BeCr2AgB crystal.

Calculated values
The symmetry is No. 123. The density is 6.60 Mg/m³. The density of states at the Fermi level comes out at 4.29 states/eV/cell. Its energy of formation from the pure elements is 0.421 eV/atom.

Cell lengths 3.6709, 3.9861, 3.9861 Å; angles 90.00, 90.00, 90.00 degrees
Closest atoms and distances in Å follow each position.
Fractional coordinates of all 5 atoms:
Cr 0.0000 0.0000 0.5000  2 B 1.99
Cr 0.0000 0.5000 0.0000  2 B 1.99
Be 0.5000 0.0000 0.0000  2 B 1.84
B 0.0000 0.0000 0.0000  2 Be 1.84, 4 Cr 1.99
Ag 0.5000 0.5000 0.5000  8 Cr 2.71, 4 Be 2.82